DFT (PBE) results for an optimized crystal structure of BaTl2Ir.

Calculated formation energy, eV/f.u.: 1.596
Final energy, eV per atom: -3.480
DOS at the Fermi energy, states/eV per atom: 0.937
Calculated volume, A^3/atom: 28.8

```
BaTl2Ir
1.0
6.370 0.000 0.000
0.000 12.023 0.000
-1.945 0.000 3.009
Ba Tl Ir
2 4 2
direct
0.000 0.000 0.000 Ba
0.500 0.500 0.000 Ba
0.250 0.250 0.500 Tl
0.250 0.750 0.500 Tl
0.750 0.250 0.500 Tl
0.750 0.750 0.500 Tl
0.000 0.500 0.000 Ir
0.500 0.000 0.000 Ir
```


DFT (PBE) results for an optimized crystal structure of Ba3TlIr.

Calculated formation energy, eV/f.u.: -0.716
Relative energy among the computed polymorphs, eV/f.u.: 0.00
Final energy, eV per atom: -3.542
DOS at the Fermi energy, states/eV per atom: 0.982
Calculated volume, A^3/atom: 45.2

```
Ba3TlIr
1.0
6.090 0.000 0.000
0.000 6.090 0.000
0.000 0.000 6.090
Ba Tl Ir
3 1 1
direct
0.000 0.000 0.500 Ba
0.000 0.500 0.000 Ba
0.500 0.000 0.000 Ba
0.500 0.500 0.500 Tl
0.000 0.000 0.000 Ir
```